Entry from the Alexandria database: crystalline Bi2PCl at its relaxed geometry (PBE).

Summary:
**DFT total energy**: -14.68 eV for the cell shown
**Polymorph energy (0 for the lowest one)**: 160 meV/atom

Cell: 5.137 5.137 5.137 Å, 60.00 60.00 60.00°
Positions (direct):
Bi 0.250 0.250 0.250
Bi 0.750 0.750 0.750
P 0.000 0.000 0.000
Cl 0.500 0.500 0.500

Entry from the Alexandria database: crystalline Ac3TlPtRh at its relaxed geometry (PBE).

Summary:
**Formation enthalpy at 0 K**: -337 kJ/mol of formula units
**DFT total energy**: -63.15 eV for the cell shown

Cell: 9.173 4.270 10.503 Å, 90.00 111.01 90.00°
Positions (direct):
Ac 0.152 0.250 0.142
Ac 0.255 0.750 0.484
Ac 0.288 0.750 0.867
Ac 0.712 0.250 0.133
Ac 0.745 0.250 0.516
Ac 0.848 0.750 0.858
Tl 0.479 0.750 0.254
Tl 0.521 0.250 0.746
Pt 0.005 0.250 0.395
Pt 0.995 0.750 0.605
Rh 0.051 0.250 0.816
Rh 0.949 0.750 0.184

Entry from the Alexandria database: crystalline Mn2ZnIn at its relaxed geometry (PBE).

Summary:
**Formation enthalpy at 0 K**: 135 kJ/mol of formula units
**DFT total energy**: -20.95 eV for the cell shown

Cell: 4.500 4.500 4.500 Å, 60.00 60.00 60.00°
Positions (direct):
Mn 0.000 0.000 0.000
Mn 0.250 0.250 0.250
Zn 0.750 0.750 0.750
In 0.500 0.500 0.500

Entry from the Alexandria database: crystalline Na3Np3SbTe8 at its relaxed geometry (PBE).

Summary:
**DFT total energy**: -82.14 eV for the cell shown

Cell: 8.906 8.906 9.107 Å, 119.28 119.28 60.03°
Positions (direct):
Na 0.000 0.000 0.000
Na 0.000 0.500 0.000
Na 0.500 0.000 0.000
Np 0.000 0.500 0.500
Np 0.500 0.000 0.500
Np 0.500 0.500 0.500
Sb 0.000 0.000 0.500
Te 0.245 0.245 0.730
Te 0.245 0.741 0.731
Te 0.255 0.255 0.266
Te 0.259 0.755 0.269
Te 0.741 0.245 0.731
Te 0.745 0.745 0.734
Te 0.755 0.259 0.269
Te 0.755 0.755 0.270

Entry from the Alexandria database: crystalline Be3C at its relaxed geometry (PBE).

Summary:
**Formation enthalpy at 0 K**: 289 kJ/mol of formula units
**DFT total energy**: -17.40 eV for the cell shown
**Polymorph energy (0 for the lowest one)**: 543 meV/atom

Cell: 3.652 3.652 2.330 Å, 90.00 90.00 111.00°
Positions (direct):
Be 0.000 0.000 0.000
Be 0.000 0.500 0.500
Be 0.500 0.000 0.500
C 0.500 0.500 0.000

Entry from the Alexandria database: crystalline PmGe3Au3 at its relaxed geometry (PBE).

Summary:
**Formation enthalpy at 0 K**: -164 kJ/mol of formula units
**DFT total energy**: -60.27 eV for the cell shown
**Polymorph energy (0 for the lowest one)**: 0 meV/atom

Cell: 7.435 7.435 7.435 Å, 65.23 65.23 65.23°
Positions (direct):
Pm 0.166 0.166 0.166
Pm 0.834 0.834 0.834
Ge 0.085 0.407 0.736
Ge 0.264 0.915 0.593
Ge 0.407 0.736 0.085
Ge 0.593 0.264 0.915
Ge 0.736 0.085 0.407
Ge 0.915 0.593 0.264
Au 0.081 0.736 0.413
Au 0.264 0.587 0.919
Au 0.413 0.081 0.736
Au 0.587 0.919 0.264
Au 0.736 0.413 0.081
Au 0.919 0.264 0.587

Entry from the Alexandria database: crystalline YSi2Os at its relaxed geometry (PBE).

Summary:
**DFT total energy**: -27.72 eV for the cell shown

Cell: 8.517 8.517 8.517 Å, 21.19 21.19 21.19°
Positions (direct):
Y 0.000 0.000 0.000
Si 0.235 0.235 0.235
Si 0.495 0.495 0.495
Os 0.761 0.761 0.761

Entry from the Alexandria database: crystalline CuMoAsSe2 at its relaxed geometry (PBE).

Summary:
**DFT total energy**: -23.59 eV for the cell shown
**Polymorph energy (0 for the lowest one)**: 0 meV/atom

Cell: 4.887 4.887 4.958 Å, 90.00 90.00 90.00°
Positions (direct):
Cu 0.000 0.000 0.000
Mo 0.500 0.500 0.500
As 0.500 0.500 0.000
Se 0.000 0.500 0.500
Se 0.500 0.000 0.500

Entry from the Alexandria database: crystalline NbTeHPd at its relaxed geometry (PBE).

Summary:
**DFT total energy**: -22.25 eV for the cell shown
**Polymorph energy (0 for the lowest one)**: 108 meV/atom

Cell: 3.264 3.442 6.112 Å, 90.00 90.62 90.00°
Positions (direct):
Nb 0.000 0.000 0.000
Te 0.495 0.500 0.738
H 0.505 0.000 0.215
Pd 0.506 0.500 0.292

Entry from the Alexandria database: crystalline MgTaBe4 at its relaxed geometry (PBE).

Summary:
**Formation enthalpy at 0 K**: 70 kJ/mol of formula units
**DFT total energy**: -27.63 eV for the cell shown

Cell: 4.603 4.603 4.603 Å, 60.00 60.00 60.00°
Positions (direct):
Mg 0.000 0.000 0.000
Ta 0.750 0.750 0.750
Be 0.380 0.380 0.380
Be 0.380 0.380 0.861
Be 0.380 0.861 0.380
Be 0.861 0.380 0.380

Entry from the Alexandria database: crystalline Pm2LuHg at its relaxed geometry (PBE).

Summary:
**Formation enthalpy at 0 K**: 34 kJ/mol of formula units
**DFT total energy**: -13.97 eV for the cell shown
**Polymorph energy (0 for the lowest one)**: 293 meV/atom

Cell: 12.327 12.327 12.327 Å, 16.41 16.41 16.41°
Positions (direct):
Pm 0.089 0.089 0.089
Pm 0.911 0.911 0.911
Lu 0.500 0.500 0.500
Hg 0.000 0.000 0.000

Entry from the Alexandria database: crystalline NaGaN2F at its relaxed geometry (PBE).

Summary:
**DFT total energy**: -22.75 eV for the cell shown
**Polymorph energy (0 for the lowest one)**: 0 meV/atom

Cell: 3.919 3.919 4.288 Å, 90.00 90.00 90.00°
Positions (direct):
Na 0.000 0.000 0.000
Ga 0.500 0.500 0.500
N 0.000 0.500 0.500
N 0.500 0.000 0.500
F 0.500 0.500 0.000

Entry from the Alexandria database: crystalline K2ZrI2O2 at its relaxed geometry (PBE).

Summary:
**DFT total energy**: -37.36 eV for the cell shown

Cell: 10.294 10.294 10.294 Å, 155.70 155.70 34.63°
Positions (direct):
K 0.095 0.095 0.000
K 0.905 0.905 0.000
Zr 0.500 0.500 0.000
I 0.343 0.343 0.000
I 0.657 0.657 0.000
O 0.000 0.500 0.500
O 0.500 0.000 0.500

Entry from the Alexandria database: crystalline Pm2NpSnN5 at its relaxed geometry (PBE).

Summary:
**DFT total energy**: -151.78 eV for the cell shown

Cell: 7.301 7.301 10.650 Å, 90.00 90.00 152.37°
Positions (direct):
Pm 0.110 0.890 0.500
Pm 0.134 0.866 0.095
Pm 0.866 0.134 0.595
Pm 0.890 0.110 0.000
Np 0.217 0.783 0.814
Np 0.783 0.217 0.314
Sn 0.480 0.520 0.272
Sn 0.520 0.480 0.772
N 0.058 0.942 0.867
N 0.280 0.720 0.447
N 0.304 0.696 0.183
N 0.369 0.631 0.810
N 0.495 0.505 0.581
N 0.505 0.495 0.081
N 0.631 0.369 0.310
N 0.696 0.304 0.683
N 0.720 0.280 0.947
N 0.942 0.058 0.367

Entry from the Alexandria database: crystalline ScCu6Si2 at its relaxed geometry (PBE).

Summary:
**DFT total energy**: -43.95 eV for the cell shown

Cell: 3.813 3.813 8.379 Å, 90.00 90.00 90.00°
Positions (direct):
Sc 0.000 0.000 0.000
Cu 0.000 0.000 0.500
Cu 0.000 0.500 0.297
Cu 0.000 0.500 0.703
Cu 0.500 0.000 0.297
Cu 0.500 0.000 0.703
Cu 0.500 0.500 0.500
Si 0.500 0.500 0.136
Si 0.500 0.500 0.864

Entry from the Alexandria database: crystalline HoSiPt5 at its relaxed geometry (PBE).

Summary:
**DFT total energy**: -46.86 eV for the cell shown

Cell: 4.035 4.035 7.179 Å, 90.00 90.00 90.00°
Positions (direct):
Ho 0.000 0.000 0.000
Si 0.500 0.500 0.500
Pt 0.000 0.500 0.298
Pt 0.000 0.500 0.702
Pt 0.500 0.000 0.298
Pt 0.500 0.000 0.702
Pt 0.500 0.500 0.000

Entry from the Alexandria database: crystalline Cd2InPb2 at its relaxed geometry (PBE).

Summary:
**Formation enthalpy at 0 K**: 34 kJ/mol of formula units
**DFT total energy**: -23.27 eV for the cell shown
**Polymorph energy (0 for the lowest one)**: 32 meV/atom

Cell: 7.725 7.725 4.744 Å, 90.00 90.00 90.00°
Positions (direct):
Cd 0.133 0.367 0.000
Cd 0.367 0.867 0.000
Cd 0.633 0.133 0.000
Cd 0.867 0.633 0.000
In 0.000 0.000 0.000
In 0.500 0.500 0.000
Pb 0.173 0.673 0.500
Pb 0.327 0.173 0.500
Pb 0.673 0.827 0.500
Pb 0.827 0.327 0.500

Entry from the Alexandria database: crystalline FeGe2Rh at its relaxed geometry (PBE).

Summary:
**Formation enthalpy at 0 K**: -58 kJ/mol of formula units
**DFT total energy**: -25.65 eV for the cell shown
**Polymorph energy (0 for the lowest one)**: 0 meV/atom

Cell: 2.996 2.996 5.985 Å, 90.00 90.00 90.00°
Positions (direct):
Fe 0.000 0.000 0.000
Ge 0.500 0.500 0.229
Ge 0.500 0.500 0.771
Rh 0.000 0.000 0.500

Entry from the Alexandria database: crystalline Ba8Pd5Pt at its relaxed geometry (PBE).

Summary:
**Formation enthalpy at 0 K**: -683 kJ/mol of formula units
**DFT total energy**: -54.47 eV for the cell shown

Cell: 8.570 8.570 8.570 Å, 109.47 109.47 109.48°
Positions (direct):
Ba 0.001 0.373 0.248
Ba 0.124 0.249 0.752
Ba 0.125 0.753 0.752
Ba 0.247 0.999 0.372
Ba 0.497 0.372 0.248
Ba 0.627 0.875 0.628
Ba 0.628 0.876 0.125
Ba 0.751 0.503 0.875
Pd 0.252 0.627 0.125
Pd 0.373 0.499 0.626
Pd 0.501 0.127 0.875
Pd 0.750 0.250 0.500
Pd 0.873 0.748 0.374
Pt 0.000 0.000 0.000

Entry from the Alexandria database: crystalline Cs5TlI8 at its relaxed geometry (PBE).

Summary:
**DFT total energy**: -34.58 eV for the cell shown

Cell: 9.958 9.958 9.958 Å, 107.75 107.75 112.98°
Positions (direct):
Cs 0.000 0.000 0.000
Cs 0.243 0.648 0.147
Cs 0.352 0.499 0.595
Cs 0.501 0.096 0.853
Cs 0.904 0.757 0.405
Tl 0.750 0.250 0.500
I 0.096 0.680 0.754
I 0.188 0.257 0.816
I 0.320 0.074 0.416
I 0.441 0.371 0.184
I 0.629 0.812 0.069
I 0.658 0.904 0.584
I 0.743 0.559 0.931
I 0.926 0.342 0.246

Entry from the Alexandria database: crystalline Mn4TeS2 at its relaxed geometry (PBE).

Summary:
**DFT total energy**: -44.89 eV for the cell shown

Cell: 7.378 7.378 7.378 Å, 139.16 139.16 59.14°
Positions (direct):
Mn 0.000 0.500 0.500
Mn 0.210 0.210 0.000
Mn 0.500 0.000 0.500
Mn 0.790 0.790 0.000
Te 0.000 0.000 0.000
S 0.383 0.383 0.000
S 0.617 0.617 0.000

Entry from the Alexandria database: crystalline Ce4DyAs6 at its relaxed geometry (PBE).

Summary:
**Formation enthalpy at 0 K**: -1284 kJ/mol of formula units
**DFT total energy**: -139.09 eV for the cell shown

Cell: 8.210 8.210 8.210 Å, 88.88 88.88 88.88°
Positions (direct):
Ce 0.132 0.750 0.368
Ce 0.250 0.250 0.250
Ce 0.250 0.632 0.868
Ce 0.368 0.132 0.750
Ce 0.632 0.868 0.250
Ce 0.750 0.368 0.132
Ce 0.750 0.750 0.750
Ce 0.868 0.250 0.632
Dy 0.000 0.000 0.000
Dy 0.500 0.500 0.500
As 0.066 0.916 0.677
As 0.084 0.323 0.934
As 0.177 0.416 0.566
As 0.323 0.934 0.084
As 0.416 0.566 0.177
As 0.434 0.823 0.584
As 0.566 0.177 0.416
As 0.584 0.434 0.823
As 0.677 0.066 0.916
As 0.823 0.584 0.434
As 0.916 0.677 0.066
As 0.934 0.084 0.323

Entry from the Alexandria database: crystalline Be3SbTe at its relaxed geometry (PBE).

Summary:
**DFT total energy**: -13.02 eV for the cell shown
**Polymorph energy (0 for the lowest one)**: 179 meV/atom

Cell: 4.708 4.708 4.708 Å, 90.00 90.00 90.00°
Positions (direct):
Be 0.000 0.000 0.500
Be 0.000 0.500 0.000
Be 0.500 0.000 0.000
Sb 0.500 0.500 0.500
Te 0.000 0.000 0.000

Entry from the Alexandria database: crystalline Mg4In3Rh2 at its relaxed geometry (PBE).

Summary:
**Formation enthalpy at 0 K**: -289 kJ/mol of formula units
**DFT total energy**: -32.30 eV for the cell shown

Cell: 7.387 7.387 5.761 Å, 100.74 100.74 35.72°
Positions (direct):
Mg 0.083 0.083 0.361
Mg 0.286 0.286 0.823
Mg 0.714 0.714 0.177
Mg 0.917 0.917 0.639
In 0.350 0.350 0.337
In 0.500 0.500 0.000
In 0.650 0.650 0.663
Rh 0.101 0.101 0.898
Rh 0.899 0.899 0.102